DFT (PBE-GGA) results for a geometry-optimized LiCd2Os structure. Values from VASP.

Results
As for the calculated formation energy: 3.08 eV per formula unit. Its spin magnetization is 0.0 μB/f.u.

Geometry as Quantum ESPRESSO input:
```
&SYSTEM
  ibrav = 0, nat = 8, ntyp = 3
/
ATOMIC_SPECIES
Li 6.94 Li.upf
Cd 112.41 Cd.upf
Os 190.23 Os.upf
CELL_PARAMETERS angstrom
-1.990 1.990 9.503
1.990 -1.990 9.503
1.990 1.990 -9.503
ATOMIC_POSITIONS angstrom
Li 0.000 0.000 0.000
Li 0.000 1.990 4.752
Cd 0.995 -0.987 7.127
Cd 1.003 0.995 2.376
Cd 0.995 2.977 -2.376
Cd 0.987 0.995 11.879
Os 1.990 0.000 4.752
Os 0.000 0.000 9.503
```

***

DFT (PBE-GGA) results for a geometry-optimized LiCdPOs2 structure. Values from VASP.

Results
As for the calculated formation energy: 1.88 eV per formula unit. Its spin magnetization is 0.0 μB/f.u.

Geometry as Quantum ESPRESSO input:
```
&SYSTEM
  ibrav = 0, nat = 5, ntyp = 4
/
ATOMIC_SPECIES
Li 6.94 Li.upf
Cd 112.41 Cd.upf
P 30.97 P.upf
Os 190.23 Os.upf
CELL_PARAMETERS angstrom
4.381 0.000 0.000
0.000 4.381 0.000
0.000 0.000 4.426
ATOMIC_POSITIONS angstrom
Li 0.000 0.000 0.000
Cd 2.190 2.190 0.000
P 0.000 0.000 2.213
Os 0.000 2.190 2.213
Os 2.190 0.000 2.213
```

***

DFT (PBE-GGA) results for a geometry-optimized LiCdOsPt2 structure. Values from VASP.

Results
As for the calculated formation energy: 3.83 eV per formula unit. Its spin magnetization is 0.4 μB/f.u.

Geometry as Quantum ESPRESSO input:
```
&SYSTEM
  ibrav = 0, nat = 5, ntyp = 4
/
ATOMIC_SPECIES
Li 6.94 Li.upf
Cd 112.41 Cd.upf
Os 190.23 Os.upf
Pt 195.08 Pt.upf
CELL_PARAMETERS angstrom
4.244 0.000 0.000
0.000 4.244 0.000
0.000 0.000 4.343
ATOMIC_POSITIONS angstrom
Li 0.000 0.000 0.000
Cd 2.122 2.122 2.172
Os 0.000 0.000 2.172
Pt 0.000 2.122 0.000
Pt 2.122 0.000 0.000
```

***

DFT (PBE-GGA) results for a geometry-optimized LiCd2ReOs structure. Values from VASP.

Results
As for the calculated formation energy: 5.68 eV per formula unit. Its spin magnetization is 1.6 μB/f.u.

Geometry as Quantum ESPRESSO input:
```
&SYSTEM
  ibrav = 0, nat = 5, ntyp = 4
/
ATOMIC_SPECIES
Li 6.94 Li.upf
Cd 112.41 Cd.upf
Re 186.21 Re.upf
Os 190.23 Os.upf
CELL_PARAMETERS angstrom
5.294 0.000 0.000
0.000 5.294 0.000
0.000 0.000 4.693
ATOMIC_POSITIONS angstrom
Li 0.000 0.000 0.000
Cd 0.000 2.647 2.347
Cd 2.647 0.000 2.347
Re 2.647 2.647 2.347
Os 2.647 2.647 0.000
```

***

DFT (PBE-GGA) results for a geometry-optimized LiCdP2 structure. Values from VASP.

Results
As for the calculated formation energy: 0.35 eV per formula unit. Its spin magnetization is 0.0 μB/f.u.

Geometry as Quantum ESPRESSO input:
```
&SYSTEM
  ibrav = 0, nat = 4, ntyp = 3
/
ATOMIC_SPECIES
Li 6.94 Li.upf
Cd 112.41 Cd.upf
P 30.97 P.upf
CELL_PARAMETERS angstrom
4.211 0.000 0.000
0.000 3.670 0.000
-1.346 0.000 4.470
ATOMIC_POSITIONS angstrom
Li 0.000 0.000 0.000
Cd -0.673 1.835 2.235
P 1.433 0.000 2.235
P 2.106 1.835 0.000
```

***

DFT (PBE-GGA) results for a geometry-optimized LiCdP structure. Values from VASP.

Results
As for the calculated formation energy: -1.10 eV per formula unit. Its spin magnetization is 0.0 μB/f.u.

Geometry as Quantum ESPRESSO input:
```
&SYSTEM
  ibrav = 0, nat = 6, ntyp = 3
/
ATOMIC_SPECIES
Li 6.94 Li.upf
Cd 112.41 Cd.upf
P 30.97 P.upf
CELL_PARAMETERS angstrom
4.327 0.000 0.000
0.000 4.327 0.000
0.000 0.000 6.266
ATOMIC_POSITIONS angstrom
Li 0.000 0.000 1.566
Li 0.000 0.000 4.699
Cd 2.164 2.164 1.566
Cd 2.164 2.164 4.699
P 0.000 2.164 0.000
P 2.164 0.000 3.133
```